Entry 1:
Below is crystalline LaTlIn3 at its relaxed geometry, with properties calculated at the PBE level.

Values from the calculation:
Uncorrected energy, eV per atom: -3.339

Cell lengths 4.9615, 6.4168, 9.4157 Å; angles 90.00, 105.19, 90.00 degrees
With the nearest neighbours (Å) after each atom.
Space group P2_1/m (No. 11)
Unique sites:
La 0.1056 0.2500 0.2152 x2  7 In 3.26-3.55, 2 Tl 3.36-3.37
Tl 0.2682 0.7500 0.5347 x2  2 In 3.01-3.02, 2 La 3.36-3.37
In 0.0765 0.7500 0.1529 x2  6 In 3.03-3.27, 3 La 3.26-3.34
In 0.3264 0.2500 0.6540 x2  2 Tl 3.01-3.02, 2 In 3.03-3.04
In 0.5000 0.0000 0.0000 x2  8 In 3.21-3.53, 4 La 3.54-3.55

Entry 2:
Below is crystalline La2TlIn at its relaxed geometry, with properties calculated at the PBE level.

Values from the calculation:
Uncorrected energy, eV per atom: -3.980

Cell lengths 3.8147, 5.2754, 6.6838 Å; angles 90.00, 90.00, 90.00 degrees
With the nearest neighbours (Å) after each atom.
Space group Pmm2 (No. 25)
Unique sites:
La 0.0000 0.0000 0.0000 x1  2 Tl 3.25-3.43, 4 In 3.36
La 0.5000 0.5000 0.3838 x1  2 In 3.29-3.39, 4 Tl 3.37
Tl 0.0000 0.0000 0.5133 x1  6 La 3.25-3.43
In 0.5000 0.5000 0.8764 x1  6 La 3.29-3.39

Entry 3:
Below is crystalline La8TlIn2 at its relaxed geometry, with properties calculated at the PBE level.

Values from the calculation:
Uncorrected energy, eV per atom: -4.536

Cell lengths 18.4070, 5.3769, 8.2642 Å; angles 90.00, 115.53, 90.00 degrees
With the nearest neighbours (Å) after each atom.
Space group C2/m (No. 12)
Unique sites:
La 0.0101 0.0000 0.2301 x4  2 In 3.47-3.73, 2 Tl 3.55, 6 La 3.58-3.70
La 0.1318 0.5000 0.9227 x4  5 La 3.28-3.58, 1 Tl 3.28, 2 In 3.29
La 0.1601 0.5000 0.4066 x4  1 Tl 3.35, 3 In 3.39-3.45, 3 La 3.56-3.68
La 0.1864 0.0000 0.7474 x4  4 La 3.28-3.56, 3 In 3.43-3.53
Tl 0.0000 0.5000 0.5000 x2  8 La 3.28-3.55
In 0.1869 0.0000 0.1755 x4  9 La 3.29-3.53